{
  "formula": "CsSc3I",
  "functional": "GGA-PBEsol",
  "state": "relaxed",
  "e_tot_ev_per_atom": -3.192,
  "e_form_raw_kj_per_mol_atoms": 127,
  "sg": "Pm-3m, No. 221",
  "magnetic_moment_mub_per_fu": 0.00,
  "cell": [[5.310, 0.000, 0.000], [0.000, 5.310, 0.000], [0.000, 0.000, 5.310]],
  "species": ["Cs", "Sc", "Sc", "Sc", "I"],
  "frac_coords": [[0.000, 0.000, 0.000], [0.000, 0.000, 0.500], [0.000, 0.500, 0.000], [0.500, 0.000, 0.000], [0.500, 0.500, 0.500]]
}